DFT (PBE-GGA) results for BeReGe after structural relaxation.

energy relative to the lowest polymorph listed for this composition	0	meV/atom
uncorrected energy	-6.38	eV/atom

Lattice parameters (Å, degrees): 3.8579 3.8579 3.8579 60.00 60.00 60.00
With the nearest neighbours (Å) after each atom.
Sites, in units of the cell vectors:
Ge 0.2500 0.2500 0.2500  4 Be 2.36
Be 0.0000 0.0000 0.0000  4 Re 2.36, 4 Ge 2.36
Re 0.7500 0.7500 0.7500  4 Be 2.36